Entry 1:
Density functional theory data (PBE) for La3Ho2Ag3 after structural relaxation.

Cell lengths 3.7292, 5.5066, 11.6878 Å; angles 103.63, 99.18, 90.00 degrees
Positions (direct):
La: 0.3780 0.3780 0.7560
La: 0.5000 0.0000 0.0000
La: 0.6220 0.6220 0.2440
Ag: 0.1247 0.1247 0.2494
Ag: 0.0000 0.5000 0.0000
Ag: 0.8753 0.8753 0.7506
Ho: 0.2674 0.7674 0.5348
Ho: 0.7326 0.2326 0.4652

- Size of the total moment: 0.0 Bohr magnetons per cell
- Formation enthalpy at 0 K: -0.1931 eV per atom

---

Entry 2:
Density functional theory data (PBE) for La2HoAg after structural relaxation.

Cell lengths 3.4717, 3.4717, 11.9463 Å; angles 81.65, 81.65, 60.00 degrees
Positions (direct):
Ho: 0.0000 0.0000 0.0000
La: 0.9064 0.9064 0.2809
La: 0.0936 0.0936 0.7191
Ag: 0.5000 0.5000 0.5000

- Energy above the lowest structure with this stoichiometry: 299 meV/atom
- Size of the total moment: 0.0 Bohr magnetons per cell
- Formation enthalpy at 0 K: 0.1754 eV per atom

---

Entry 3:
Density functional theory data (PBE) for La3HoAg2 after structural relaxation.

Cell lengths 5.3316, 7.0191, 9.5988 Å; angles 90.00, 90.00, 90.00 degrees
Positions (direct):
Ag: 0.5000 0.2197 0.1625
Ag: 0.5000 0.7197 0.8375
Ag: 0.0000 0.2807 0.6487
Ag: 0.0000 0.7807 0.3513
La: 0.5000 0.6640 0.1695
La: 0.0000 0.3324 0.3364
La: 0.5000 0.1640 0.8305
La: 0.0000 0.8324 0.6636
La: 0.0000 0.4966 0.9375
La: 0.0000 0.9966 0.0625
Ho: 0.5000 0.0066 0.4434
Ho: 0.5000 0.5066 0.5566

- Size of the total moment: 0.0 Bohr magnetons per cell
- Formation enthalpy at 0 K: -0.1562 eV per atom

---

Entry 4:
Density functional theory data (PBE) for La2HoAg after structural relaxation.

Cell lengths 5.2934, 5.2934, 9.4535 Å; angles 106.25, 106.25, 90.04 degrees
Positions (direct):
La: 0.1379 0.1379 0.7750
La: 0.0000 0.5000 0.5000
La: 0.8621 0.8621 0.2250
La: 0.5000 0.0000 0.5000
Ho: 0.6523 0.6523 0.8057
Ho: 0.3477 0.3477 0.1943
Ag: 0.7508 0.2492 0.0000
Ag: 0.2492 0.7508 0.0000

- Energy above the lowest structure with this stoichiometry: 0 meV/atom
- Size of the total moment: 0.0 Bohr magnetons per cell
- Formation enthalpy at 0 K: -0.1234 eV per atom

---

Entry 5:
Density functional theory data (PBE) for LaHoAg after structural relaxation.

Cell lengths 3.6706, 3.6706, 6.9560 Å; angles 105.30, 105.30, 90.00 degrees
Positions (direct):
Ag: 0.6801 0.6801 0.3602
Ho: 0.3077 0.3077 0.6155
La: 0.0122 0.0122 0.0244

- Energy above the lowest structure with this stoichiometry: 0 meV/atom
- Size of the total moment: 0.3 Bohr magnetons per cell
- Formation enthalpy at 0 K: -0.1628 eV per atom

---

Entry 6:
Density functional theory data (PBE) for La6HoAg after structural relaxation.

Cell lengths 6.8122, 6.8365, 8.6270 Å; angles 66.65, 66.96, 60.02 degrees
Positions (direct):
Ho: 0.5000 0.5000 0.5000
La: 0.9641 0.5640 0.2660
La: 0.0359 0.4360 0.7340
La: 0.5637 0.2091 0.2644
La: 0.2091 0.9669 0.2645
La: 0.4363 0.7909 0.7356
La: 0.7909 0.0331 0.7355
Ag: 0.0000 0.0000 0.0000

- Size of the total moment: 0.0 Bohr magnetons per cell
- Formation enthalpy at 0 K: 0.3247 eV per atom

---

Entry 7:
Density functional theory data (PBE) for LaHoAg4 after structural relaxation.

Cell lengths 5.3948, 5.3985, 5.4639 Å; angles 60.39, 90.02, 90.04 degrees
Positions (direct):
La: 0.0013 0.5018 0.4954
Ag: 0.0013 0.8338 0.8313
Ag: 0.0013 0.1698 0.1596
Ag: 0.5013 0.3236 0.8522
Ag: 0.5013 0.6803 0.1387
Ho: 0.5013 0.0019 0.4954

- Energy above the lowest structure with this stoichiometry: 16 meV/atom
- Size of the total moment: 0.0 Bohr magnetons per cell
- Formation enthalpy at 0 K: -0.2595 eV per atom

---

Entry 8:
Density functional theory data (PBE) for LaHo4Ag5 after structural relaxation.

Cell lengths 3.6210, 3.6210, 18.6740 Å; angles 90.00, 90.00, 90.00 degrees
Positions (direct):
Ho: 0.0000 0.0000 0.2072
Ho: 0.0000 0.0000 0.5976
Ho: 0.0000 0.0000 0.4024
Ho: 0.0000 0.0000 0.7928
Ag: 0.5000 0.5000 0.1150
Ag: 0.5000 0.5000 0.5000
Ag: 0.5000 0.5000 0.3047
Ag: 0.5000 0.5000 0.8850
Ag: 0.5000 0.5000 0.6953
La: 0.0000 0.0000 0.0000

- Size of the total moment: 0.0 Bohr magnetons per cell
- Formation enthalpy at 0 K: -0.3162 eV per atom

---

size of the total moment of number 8 (LaHo4Ag5)? 0.0 Bohr magnetons per cell